# LaCd2As2Pd7, relaxed, DFT PBE
# **ΔE_f**: -0.4110 eV/atom
# **Spin magnetization**: 0.0 μB/f.u.
data_LaCd2As2Pd7
_symmetry_space_group_name_H-M 'C 1 2/m 1'
_symmetry_Int_Tables_number 12
_symmetry_space_group_name_Hall '-C 2y'
_cell_length_a 5.733
_cell_length_b 5.694
_cell_length_c 14.658
_cell_angle_alpha 90.00
_cell_angle_beta 98.54
_cell_angle_gamma 90.00
loop_
_atom_site_label
_atom_site_type_symbol
_atom_site_fract_x
_atom_site_fract_y
_atom_site_fract_z
La1 La 0.000 0.000 0.000
Cd1 Cd 0.111 0.000 0.401
As1 As 0.098 0.500 0.258
Pd1 Pd 0.000 0.500 0.000
Pd2 Pd 0.125 0.500 0.425
Pd3 Pd 0.190 0.250 0.842


# La2CdAsPt, relaxed, DFT PBE
# **ΔE_f**: -0.4738 eV/atom
# **Spin magnetization**: 0.0 μB/f.u.
data_La2CdAsPt
_symmetry_space_group_name_H-M 'P 4/m m m'
_symmetry_Int_Tables_number 123
_symmetry_space_group_name_Hall '-P 4 2'
_cell_length_a 5.748
_cell_length_b 5.748
_cell_length_c 4.675
_cell_angle_alpha 90.00
_cell_angle_beta 90.00
_cell_angle_gamma 90.00
loop_
_atom_site_label
_atom_site_type_symbol
_atom_site_fract_x
_atom_site_fract_y
_atom_site_fract_z
La1 La 0.000 0.500 0.000
Cd1 Cd 0.000 0.000 0.500
As1 As 0.500 0.500 0.000
Pt1 Pt 0.500 0.500 0.500


# La2CdAs4Pt3, relaxed, DFT PBE
# **ΔE_f**: -0.8347 eV/atom
# **Spin magnetization**: 0.0 μB/f.u.
data_La2CdAs4Pt3
_symmetry_space_group_name_H-M 'P -4 m 2'
_symmetry_Int_Tables_number 115
_symmetry_space_group_name_Hall 'P -4 -2'
_cell_length_a 4.530
_cell_length_b 4.530
_cell_length_c 10.248
_cell_angle_alpha 90.00
_cell_angle_beta 90.00
_cell_angle_gamma 90.00
loop_
_atom_site_label
_atom_site_type_symbol
_atom_site_fract_x
_atom_site_fract_y
_atom_site_fract_z
La1 La 0.000 0.500 0.238
Cd1 Cd 0.000 0.000 0.500
As1 As 0.000 0.000 0.000
As2 As 0.000 0.500 0.644
As3 As 0.500 0.500 0.000
Pt1 Pt 0.000 0.500 0.887
Pt2 Pt 0.500 0.500 0.500


# La2CdAs3Rh12, relaxed, DFT PBE
# **ΔE_f**: -0.1777 eV/atom
# **Spin magnetization**: 0.0 μB/f.u.
data_La2CdAs3Rh12
_symmetry_space_group_name_H-M 'R -3 m'
_symmetry_Int_Tables_number 166
_symmetry_space_group_name_Hall '-R 3 2"'
_cell_length_a 9.0875
_cell_length_b 9.0875
_cell_length_c 13.1351
_cell_angle_alpha 90.00
_cell_angle_beta 90.00
_cell_angle_gamma 120.00
loop_
_atom_site_label
_atom_site_type_symbol
_atom_site_fract_x
_atom_site_fract_y
_atom_site_fract_z
La1 La 0.0000 0.0000 0.1366
Cd1 Cd 0.0000 0.0000 0.5000
As1 As 0.0000 0.5000 0.0000
Rh1 Rh 0.0057 0.5029 0.8190
Rh2 Rh 0.0131 0.5065 0.3829


# La2CdAs4Rh3, relaxed, DFT PBE
# **ΔE_f**: -0.8581 eV/atom
# **Spin magnetization**: 0.0 μB/f.u.
data_La2CdAs4Rh3
_symmetry_space_group_name_H-M 'P -4 m 2'
_symmetry_Int_Tables_number 115
_symmetry_space_group_name_Hall 'P -4 -2'
_cell_length_a 4.383
_cell_length_b 4.383
_cell_length_c 10.398
_cell_angle_alpha 90.00
_cell_angle_beta 90.00
_cell_angle_gamma 90.00
loop_
_atom_site_label
_atom_site_type_symbol
_atom_site_fract_x
_atom_site_fract_y
_atom_site_fract_z
La1 La 0.000 0.500 0.235
Cd1 Cd 0.000 0.000 0.500
As1 As 0.000 0.000 0.000
As2 As 0.000 0.500 0.650
As3 As 0.500 0.500 0.000
Rh1 Rh 0.000 0.500 0.887
Rh2 Rh 0.500 0.500 0.500


# LaCdAs2Rh5, relaxed, DFT PBE
# **ΔE_f**: -0.3655 eV/atom
# **Spin magnetization**: 0.0 μB/f.u.
data_LaCdAs2Rh5
_symmetry_space_group_name_H-M 'P 4/m m m'
_symmetry_Int_Tables_number 123
_symmetry_space_group_name_Hall '-P 4 2'
_cell_length_a 4.071
_cell_length_b 4.071
_cell_length_c 10.973
_cell_angle_alpha 90.00
_cell_angle_beta 90.00
_cell_angle_gamma 90.00
loop_
_atom_site_label
_atom_site_type_symbol
_atom_site_fract_x
_atom_site_fract_y
_atom_site_fract_z
La1 La 0.000 0.000 0.000
Cd1 Cd 0.000 0.000 0.500
As1 As 0.500 0.500 0.218
Rh1 Rh 0.000 0.500 0.329
Rh2 Rh 0.500 0.500 0.000


# LaCd2AsSe, relaxed, DFT PBE
# **Formation energy without anion corrections**: -1.8 eV/f.u.
# **Spin magnetization**: 0.0 μB/f.u.
data_LaCd2AsSe
_symmetry_space_group_name_H-M 'P 4/m m m'
_symmetry_Int_Tables_number 123
_symmetry_space_group_name_Hall '-P 4 2'
_cell_length_a 5.131
_cell_length_b 5.131
_cell_length_c 5.909
_cell_angle_alpha 90.00
_cell_angle_beta 90.00
_cell_angle_gamma 90.00
loop_
_atom_site_label
_atom_site_type_symbol
_atom_site_fract_x
_atom_site_fract_y
_atom_site_fract_z
La1 La 0.000 0.000 0.000
Cd1 Cd 0.000 0.500 0.500
As1 As 0.000 0.000 0.500
Se1 Se 0.500 0.500 0.000


# LiCdAs2, relaxed, DFT PBE
# **ΔE_f**: -0.0362 eV/atom
# **Spin magnetization**: 0.0 μB/f.u.
data_LiCdAs2
_symmetry_space_group_name_H-M 'P 4 m m'
_symmetry_Int_Tables_number 99
_symmetry_space_group_name_Hall 'P 4 -2'
_cell_length_a 3.689
_cell_length_b 3.689
_cell_length_c 5.805
_cell_angle_alpha 90.00
_cell_angle_beta 90.00
_cell_angle_gamma 90.00
loop_
_atom_site_label
_atom_site_type_symbol
_atom_site_fract_x
_atom_site_fract_y
_atom_site_fract_z
Li1 Li 0.000 0.000 0.000
Cd1 Cd 0.500 0.500 0.751
As1 As 0.000 0.000 0.456
As2 As 0.500 0.500 0.254